Record 1
A plane-wave DFT calculation with PBE was carried out for a relaxed Na2UH6 crystal.

a = 8.3262 Å, b = 8.3262 Å, c = 8.3262 Å
α = 90.00°, β = 90.00°, γ = 90.00°
Closest atoms and distances in Å follow each position.
Space group Fm-3m (No. 225)
Inequivalent atoms, fractional coordinates:
1 Na 0.2500 0.2500 0.2500 x8  12 H 2.94
2 U 0.0000 0.0000 0.0000 x4  6 H 2.13
3 H 0.0000 0.0000 0.2556 x24  1 U 2.13

Computed properties:
The electronic total energy is -3.3540 eV/atom. The value obtained for the volume is 16.0 A^3/atom. As for the magnetization: 2.01 μB/f.u.


Record 2
A plane-wave DFT calculation with PBE was carried out for a relaxed NaNb2InGe crystal.

a = 4.9094 Å, b = 4.9094 Å, c = 5.2318 Å
α = 90.00°, β = 90.00°, γ = 90.00°
Closest atoms and distances in Å follow each position.
Space group P4/mmm (No. 123)
Inequivalent atoms, fractional coordinates:
1 Na 0.0000 0.0000 0.0000 x1  4 In 3.47, 8 Nb 3.59
2 Nb 0.0000 0.5000 0.5000 x2  2 Ge 2.45
3 In 0.5000 0.5000 0.0000 x1  2 Ge 2.62
4 Ge 0.5000 0.5000 0.5000 x1  4 Nb 2.45, 2 In 2.62

Computed properties:
The calculated formation energy is 0.918 eV/atom. The electronic total energy is -4.8444 eV/atom. The value obtained for the volume is 25.2 A^3/atom. As for the magnetization: 0.00 μB/f.u.


Look up the magnetization of the second one.
0.00 μB/f.u.